Co2NiO4 | GGA+U | relaxed

```
data_Co2NiO4
_symmetry_space_group_name_H-M 'I m m a'
_symmetry_Int_Tables_number 74
_symmetry_space_group_name_Hall '-I 2b 2'
_cell_length_a 5.759
_cell_length_b 5.805
_cell_length_c 8.317
_cell_angle_alpha 90.00
_cell_angle_beta 90.00
_cell_angle_gamma 90.00
loop_
_atom_site_label
_atom_site_fract_x
_atom_site_fract_y
_atom_site_fract_z
Co1 0.000 0.250 0.120
Co2 0.250 0.250 0.750
Ni1 0.000 0.000 0.500
O1 0.000 0.028 0.747
O2 0.231 0.250 0.521
```

Calculated values
Offset from the most stable computed form, eV/f.u.: 0.15
DOS at the Fermi energy, states/eV/f.u.: 2.6